# 1
Material: LiTbAg2Cl6
Method: DFT, PBE
State: optimized geometry

Summary:
The calculation puts the theoretical density at 4.0 Mg/m³. The final energy is -3.767 eV per atom. The total magnetic moment is 0.00 μB per formula unit. The calculation puts the formation energy from raw total energies at -1435 meV/atom. The crystal system is triclinic.

Cell lengths 6.791, 6.797, 7.278 Å; angles 62.21, 62.21, 60.03 degrees
Space group P1 (No. 1)
Inequivalent atoms, fractional coordinates:
Li (0.000, 0.000, 0.000) [1 per cell]
Tb (0.498, 0.498, 0.507) [1 per cell]
Ag (0.296, 0.297, 0.111) [1 per cell]
Ag (0.795, 0.795, 0.617) [1 per cell]
Cl (0.112, 0.380, 0.775) [1 per cell]
Cl (0.231, 0.884, 0.269) [1 per cell]
Cl (0.380, 0.735, 0.774) [1 per cell]
Cl (0.615, 0.232, 0.269) [1 per cell]
Cl (0.735, 0.112, 0.774) [1 per cell]
Cl (0.884, 0.616, 0.269) [1 per cell]

=====

# 2
Material: NaCa2NiRu
Method: DFT, PBE
State: optimized geometry

Summary:
The calculation puts the theoretical density at 3.1 Mg/m³. The formation energy is 1.79 eV/f.u. The final energy is -3.717 eV per atom. The total magnetic moment is 0.00 μB per formula unit. The crystal system is tetragonal.

Cell lengths 5.503, 5.503, 4.585 Å; angles 90.00, 90.00, 90.00 degrees
Space group P4/mmm (No. 123)
Inequivalent atoms, fractional coordinates:
Na (0.000, 0.000, 0.000) [1 per cell]
Ca (0.000, 0.500, 0.500) [2 per cell]
Ni (0.500, 0.500, 0.000) [1 per cell]
Ru (0.500, 0.500, 0.500) [1 per cell]

=====

# 3
Material: Na4MnBi3Se8
Method: DFT, PBE
State: optimized geometry

Summary:
The calculation puts the theoretical density at 5.5 Mg/m³. The final energy is -4.077 eV per atom. The total magnetic moment is 3.99 μB per formula unit. The calculation puts the formation energy from raw total energies at -705 meV/atom. The crystal system is trigonal.

Cell lengths 8.2884, 8.2884, 21.2158 Å; angles 90.00, 90.00, 120.00 degrees
Space group R-3m (No. 166, hexagonal axes)
Inequivalent atoms, fractional coordinates:
Na (0.0000, 0.0000, 0.0000) [3 per cell]
Na (0.0000, 0.5000, 0.0000) [9 per cell]
Mn (0.0000, 0.0000, 0.5000) [3 per cell]
Bi (0.0000, 0.5000, 0.5000) [9 per cell]
Se (0.0000, 0.0000, 0.2478) [6 per cell]
Se (0.0290, 0.5145, 0.2406) [18 per cell]